Density functional theory data (PBE) for an optimized crystal structure of Tl3In6Bi2.

```
data_Tl3In6Bi2
_chemical_formula_sum 'Tl3 In6 Bi2'
_cell_length_a 4.999
_cell_length_b 5.078
_cell_length_c 13.774
_cell_angle_alpha 100.24
_cell_angle_beta 99.56
_cell_angle_gamma 90.88
_space_group_name_H-M_alt 'P 1'
_space_group_IT_number 1
_space_group_name_Hall 'P 1'
loop_
_atom_site_label
_atom_site_type_symbol
_atom_site_fract_x
_atom_site_fract_y
_atom_site_fract_z
Tl1 Tl 0.000 0.000 0.000
Tl2 Tl 0.163 0.161 0.325
Tl3 Tl 0.837 0.839 0.675
In1 In 0.083 0.572 0.147
In2 In 0.252 0.751 0.501
In3 In 0.425 0.927 0.851
In4 In 0.575 0.073 0.149
In5 In 0.748 0.249 0.499
In6 In 0.917 0.428 0.853
Bi1 Bi 0.338 0.342 0.681
Bi2 Bi 0.662 0.658 0.319
```

Summary:
volume = 338.9 Å³/cell
formation energy = 4.3 kJ per mole of atoms
space group = P-1, No. 2
magnetization = 0.00 μB per formula unit

Density functional theory data (PBE) for an optimized crystal structure of Tl2In2Bi.

```
data_Tl2In2Bi
_chemical_formula_sum 'Tl2 In2 Bi1'
_cell_length_a 3.519
_cell_length_b 3.519
_cell_length_c 13.986
_cell_angle_alpha 90.00
_cell_angle_beta 90.00
_cell_angle_gamma 120.00
_space_group_name_H-M_alt 'P 1'
_space_group_IT_number 1
_space_group_name_Hall 'P 1'
loop_
_atom_site_label
_atom_site_type_symbol
_atom_site_fract_x
_atom_site_fract_y
_atom_site_fract_z
Tl1 Tl 0.333 0.667 0.395
Tl2 Tl 0.667 0.333 0.605
In1 In 0.333 0.667 0.801
In2 In 0.667 0.333 0.199
Bi1 Bi 0.000 0.000 0.000
```

Summary:
volume = 150.0 Å³/cell
formation energy = 1.4 kJ per mole of atoms
excess energy over the best structure of this formula in the dataset = 11 meV per atom
space group = P-3m1, No. 164
magnetization = 0.00 μB per formula unit

Density functional theory data (PBE) for an optimized crystal structure of TlIn2Bi.

```
data_TlIn2Bi
_chemical_formula_sum 'Tl2 In4 Bi2'
_cell_length_a 5.315
_cell_length_b 5.315
_cell_length_c 10.294
_cell_angle_alpha 90.00
_cell_angle_beta 90.00
_cell_angle_gamma 120.00
_space_group_name_H-M_alt 'P 1'
_space_group_IT_number 1
_space_group_name_Hall 'P 1'
loop_
_atom_site_label
_atom_site_type_symbol
_atom_site_fract_x
_atom_site_fract_y
_atom_site_fract_z
Tl1 Tl 0.333 0.667 0.250
Tl2 Tl 0.667 0.333 0.750
In1 In 0.333 0.667 0.600
In2 In 0.333 0.667 0.900
In3 In 0.667 0.333 0.100
In4 In 0.667 0.333 0.400
Bi1 Bi 0.000 0.000 0.000
Bi2 Bi 0.000 0.000 0.500
```

Summary:
volume = 251.8 Å³/cell
formation energy = 4.2 kJ per mole of atoms
excess energy over the best structure of this formula in the dataset = 38 meV per atom
space group = P6_3/mmc, No. 194
magnetization = 0.00 μB per formula unit

Density functional theory data (PBE) for an optimized crystal structure of TlIn3Bi3.

```
data_TlIn3Bi3
_chemical_formula_sum 'Tl2 In6 Bi6'
_cell_length_a 8.977
_cell_length_b 8.977
_cell_length_c 8.977
_cell_angle_alpha 55.77
_cell_angle_beta 55.77
_cell_angle_gamma 55.77
_space_group_name_H-M_alt 'P 1'
_space_group_IT_number 1
_space_group_name_Hall 'P 1'
loop_
_atom_site_label
_atom_site_type_symbol
_atom_site_fract_x
_atom_site_fract_y
_atom_site_fract_z
Tl1 Tl 0.165 0.165 0.165
Tl2 Tl 0.835 0.835 0.835
In1 In 0.042 0.586 0.239
In2 In 0.239 0.042 0.586
In3 In 0.414 0.761 0.958
In4 In 0.586 0.239 0.042
In5 In 0.761 0.958 0.414
In6 In 0.958 0.414 0.761
Bi1 Bi 0.181 0.692 0.410
Bi2 Bi 0.308 0.590 0.819
Bi3 Bi 0.410 0.181 0.692
Bi4 Bi 0.590 0.819 0.308
Bi5 Bi 0.692 0.410 0.181
Bi6 Bi 0.819 0.308 0.590
```

Summary:
volume = 461.3 Å³/cell
formation energy = 4.2 kJ per mole of atoms
excess energy over the best structure of this formula in the dataset = 0 meV per atom
space group = R-3, No. 148
magnetization = 0.00 μB per formula unit

Density functional theory data (PBE) for an optimized crystal structure of Tl3In5Bi12.

```
data_Tl3In5Bi12
_chemical_formula_sum 'Tl12 In20 Bi48'
_cell_length_a 15.915
_cell_length_b 15.915
_cell_length_c 15.915
_cell_angle_alpha 109.47
_cell_angle_beta 109.47
_cell_angle_gamma 109.47
_space_group_name_H-M_alt 'P 1'
_space_group_IT_number 1
_space_group_name_Hall 'P 1'
loop_
_atom_site_label
_atom_site_type_symbol
_atom_site_fract_x
_atom_site_fract_y
_atom_site_fract_z
Tl1 Tl 0.125 0.250 0.375
Tl2 Tl 0.125 0.375 0.750
Tl3 Tl 0.250 0.375 0.125
Tl4 Tl 0.250 0.875 0.625
Tl5 Tl 0.375 0.125 0.250
Tl6 Tl 0.375 0.750 0.125
Tl7 Tl 0.625 0.250 0.875
Tl8 Tl 0.625 0.875 0.750
Tl9 Tl 0.750 0.125 0.375
Tl10 Tl 0.750 0.625 0.875
Tl11 Tl 0.875 0.625 0.250
Tl12 Tl 0.875 0.750 0.625
In1 In 0.000 0.000 0.000
In2 In 0.000 0.000 0.500
In3 In 0.000 0.500 0.000
In4 In 0.000 0.500 0.500
In5 In 0.125 0.750 0.875
In6 In 0.125 0.875 0.250
In7 In 0.250 0.125 0.875
In8 In 0.250 0.625 0.375
In9 In 0.375 0.250 0.625
In10 In 0.375 0.625 0.750
In11 In 0.500 0.000 0.000
In12 In 0.500 0.000 0.500
In13 In 0.500 0.500 0.000
In14 In 0.500 0.500 0.500
In15 In 0.625 0.375 0.250
In16 In 0.625 0.750 0.375
In17 In 0.750 0.375 0.625
In18 In 0.750 0.875 0.125
In19 In 0.875 0.125 0.750
In20 In 0.875 0.250 0.125
Bi1 Bi 0.065 0.228 0.150
Bi2 Bi 0.065 0.337 0.916
Bi3 Bi 0.078 0.728 0.663
Bi4 Bi 0.078 0.850 0.416
Bi5 Bi 0.084 0.650 0.422
Bi6 Bi 0.084 0.935 0.663
Bi7 Bi 0.150 0.065 0.228
Bi8 Bi 0.150 0.584 0.922
Bi9 Bi 0.163 0.228 0.578
Bi10 Bi 0.163 0.435 0.584
Bi11 Bi 0.228 0.150 0.065
Bi12 Bi 0.228 0.578 0.163
Bi13 Bi 0.272 0.337 0.922
Bi14 Bi 0.272 0.435 0.350
Bi15 Bi 0.337 0.916 0.065
Bi16 Bi 0.337 0.922 0.272
Bi17 Bi 0.350 0.272 0.435
Bi18 Bi 0.350 0.578 0.916
Bi19 Bi 0.416 0.078 0.850
Bi20 Bi 0.416 0.837 0.565
Bi21 Bi 0.422 0.084 0.650
Bi22 Bi 0.422 0.837 0.772
Bi23 Bi 0.435 0.350 0.272
Bi24 Bi 0.435 0.584 0.163
Bi25 Bi 0.565 0.416 0.837
Bi26 Bi 0.565 0.650 0.728
Bi27 Bi 0.578 0.163 0.228
Bi28 Bi 0.578 0.916 0.350
Bi29 Bi 0.584 0.163 0.435
Bi30 Bi 0.584 0.922 0.150
Bi31 Bi 0.650 0.422 0.084
Bi32 Bi 0.650 0.728 0.565
Bi33 Bi 0.663 0.078 0.728
Bi34 Bi 0.663 0.084 0.935
Bi35 Bi 0.728 0.565 0.650
Bi36 Bi 0.728 0.663 0.078
Bi37 Bi 0.772 0.422 0.837
Bi38 Bi 0.772 0.850 0.935
Bi39 Bi 0.837 0.565 0.416
Bi40 Bi 0.837 0.772 0.422
Bi41 Bi 0.850 0.416 0.078
Bi42 Bi 0.850 0.935 0.772
Bi43 Bi 0.916 0.065 0.337
Bi44 Bi 0.916 0.350 0.578
Bi45 Bi 0.922 0.150 0.584
Bi46 Bi 0.922 0.272 0.337
Bi47 Bi 0.935 0.663 0.084
Bi48 Bi 0.935 0.772 0.850
```

Summary:
volume = 3103.3 Å³/cell
formation energy = 26.6 kJ per mole of atoms
space group = Ia-3d, No. 230
magnetization = 0.00 μB per formula unit

Density functional theory data (PBE) for an optimized crystal structure of Tl2InBi2.

```
data_Tl2InBi2
_chemical_formula_sum 'Tl4 In2 Bi4'
_cell_length_a 5.243
_cell_length_b 6.734
_cell_length_c 10.791
_cell_angle_alpha 105.19
_cell_angle_beta 90.39
_cell_angle_gamma 112.78
_space_group_name_H-M_alt 'P 1'
_space_group_IT_number 1
_space_group_name_Hall 'P 1'
loop_
_atom_site_label
_atom_site_type_symbol
_atom_site_fract_x
_atom_site_fract_y
_atom_site_fract_z
Tl1 Tl 0.034 0.065 0.353
Tl2 Tl 0.157 0.308 0.065
Tl3 Tl 0.843 0.692 0.935
Tl4 Tl 0.966 0.935 0.647
In1 In 0.296 0.593 0.661
In2 In 0.704 0.407 0.339
Bi1 Bi 0.340 0.679 0.382
Bi2 Bi 0.465 0.934 0.138
Bi3 Bi 0.535 0.066 0.862
Bi4 Bi 0.660 0.321 0.618
```

Summary:
volume = 336.5 Å³/cell
formation energy = 0.1 kJ per mole of atoms
excess energy over the best structure of this formula in the dataset = 1 meV per atom
space group = P-1, No. 2
magnetization = 0.00 μB per formula unit

Density functional theory data (PBE) for an optimized crystal structure of Tl3In2Bi.

```
data_Tl3In2Bi
_chemical_formula_sum 'Tl6 In4 Bi2'
_cell_length_a 6.409
_cell_length_b 6.827
_cell_length_c 8.838
_cell_angle_alpha 71.12
_cell_angle_beta 85.24
_cell_angle_gamma 84.98
_space_group_name_H-M_alt 'P 1'
_space_group_IT_number 1
_space_group_name_Hall 'P 1'
loop_
_atom_site_label
_atom_site_type_symbol
_atom_site_fract_x
_atom_site_fract_y
_atom_site_fract_z
Tl1 Tl 0.090 0.041 0.163
Tl2 Tl 0.246 0.627 0.507
Tl3 Tl 0.253 0.130 0.500
Tl4 Tl 0.747 0.870 0.500
Tl5 Tl 0.754 0.373 0.493
Tl6 Tl 0.910 0.959 0.837
In1 In 0.088 0.543 0.160
In2 In 0.410 0.225 0.828
In3 In 0.590 0.775 0.172
In4 In 0.912 0.457 0.840
Bi1 Bi 0.421 0.720 0.846
Bi2 Bi 0.579 0.280 0.154
```

Summary:
volume = 363.9 Å³/cell
formation energy = 1.3 kJ per mole of atoms
space group = P-1, No. 2
magnetization = 0.00 μB per formula unit

Density functional theory data (PBE) for an optimized crystal structure of Tl5In2Bi5.

```
data_Tl5In2Bi5
_chemical_formula_sum 'Tl5 In2 Bi5'
_cell_length_a 4.859
_cell_length_b 6.072
_cell_length_c 14.761
_cell_angle_alpha 93.16
_cell_angle_beta 98.74
_cell_angle_gamma 113.06
_space_group_name_H-M_alt 'P 1'
_space_group_IT_number 1
_space_group_name_Hall 'P 1'
loop_
_atom_site_label
_atom_site_type_symbol
_atom_site_fract_x
_atom_site_fract_y
_atom_site_fract_z
Tl1 Tl 0.000 0.000 0.000
Tl2 Tl 0.228 0.889 0.573
Tl3 Tl 0.305 0.760 0.836
Tl4 Tl 0.695 0.240 0.164
Tl5 Tl 0.772 0.111 0.427
In1 In 0.406 0.546 0.291
In2 In 0.594 0.454 0.709
Bi1 Bi 0.062 0.895 0.256
Bi2 Bi 0.339 0.614 0.070
Bi3 Bi 0.500 0.500 0.500
Bi4 Bi 0.661 0.386 0.930
Bi5 Bi 0.938 0.105 0.744
```

Summary:
volume = 392.9 Å³/cell
formation energy = 3.6 kJ per mole of atoms
space group = P-1, No. 2
magnetization = 0.00 μB per formula unit

N(E_F) (computed, states/eV/f.u.): 4.770 2.425 1.954 2.664 12.215 2.033 2.561 5.451